Computed, not measured: a relaxed structure of HfTa2Tl at the GGA-PBEsol level of DFT.

Summary:
Uncorrected energy (eV/atom): -9.09
Space-group type: Fm-3m, No. 225
Fermi-level density of states (states/eV per cell): 5.19

Cell: 4.7628 4.7628 4.7628 Å, 60.00 60.00 60.00°
With the nearest neighbours (Å) after each atom.
Positions (direct):
Hf 0.0000 0.0000 0.0000  8 Ta 2.92
Ta 0.2500 0.2500 0.2500  4 Hf 2.92, 4 Tl 2.92
Ta 0.7500 0.7500 0.7500  4 Hf 2.92, 4 Tl 2.92
Tl 0.5000 0.5000 0.5000  8 Ta 2.92